DFT (PBE-GGA) results for a relaxed structure of CaAgI2.

Lattice parameters (Å, degrees): 5.566 5.566 5.566 60.00 60.00 60.00
Fractional coordinates of all 4 atoms:
I1 0.250 0.250 0.250
I2 0.750 0.750 0.750
Ca1 0.000 0.000 0.000
Ag1 0.500 0.500 0.500

Results
spin magnetization	0.0	μB per formula unit
space-group type	Fm-3m
E_form (uncorrected)	-0.621	eV/atom
E above lowest polymorph	96	meV per atom
DOS(E_F)	3.48	states/eV per cell
crystal system	cubic